No. 1
# TmSc6Tl, optimized geometry, DFT PBE
data_TmSc6Tl
_chemical_formula_sum 'Tm1 Sc6 Tl1'
_symmetry_space_group_name_H-M 'P 4/m m m'
_symmetry_Int_Tables_number 123
_symmetry_space_group_name_Hall '-P 4 2'
_cell_length_a 4.572
_cell_length_b 4.572
_cell_length_c 9.420
_cell_angle_alpha 90.00
_cell_angle_beta 90.00
_cell_angle_gamma 90.00
loop_
_atom_site_label
_atom_site_fract_x
_atom_site_fract_y
_atom_site_fract_z
_atom_site_occupancy
Tm1 0.000 0.000 0.000 1
Sc1 0.000 0.500 0.256 1
Sc2 0.500 0.500 0.000 1
Sc3 0.500 0.500 0.500 1
Tl1 0.000 0.000 0.500 1
# Offset from the most stable computed form = 0.00 eV/f.u.
# ΔH_f (0 K) = -0.059 eV/atom
# Crystal system = tetragonal

No. 2
# SrP5, optimized geometry, DFT PBE
data_SrP5
_chemical_formula_sum 'Sr1 P5'
_symmetry_space_group_name_H-M 'P -6 2 m'
_symmetry_Int_Tables_number 189
_symmetry_space_group_name_Hall 'P -6 -2'
_cell_length_a 6.1205
_cell_length_b 6.1205
_cell_length_c 3.4052
_cell_angle_alpha 90.00
_cell_angle_beta 90.00
_cell_angle_gamma 120.00
loop_
_atom_site_label
_atom_site_fract_x
_atom_site_fract_y
_atom_site_fract_z
_atom_site_occupancy
Sr1 0.0000 0.0000 0.0000 1
P1 0.0000 0.4375 0.5000 1
P2 0.3333 0.6667 0.0000 1
# ΔH_f (0 K) = -0.007 eV/atom
# Crystal system = hexagonal

No. 3
# MnCuCl4, optimized geometry, DFT PBE
data_MnCuCl4
_chemical_formula_sum 'Mn4 Cu4 Cl16'
_symmetry_space_group_name_H-M 'F -4 3 m'
_symmetry_Int_Tables_number 216
_symmetry_space_group_name_Hall 'F -4 2 3'
_cell_length_a 8.228
_cell_length_b 8.228
_cell_length_c 8.228
_cell_angle_alpha 90.00
_cell_angle_beta 90.00
_cell_angle_gamma 90.00
loop_
_atom_site_label
_atom_site_fract_x
_atom_site_fract_y
_atom_site_fract_z
_atom_site_occupancy
Mn1 0.000 0.000 0.000 1
Cu1 0.250 0.250 0.250 1
Cl1 0.125 0.125 0.625 1
# Crystal system = cubic
# Formation energy (no corrections) = 77 kJ/mol of atoms